Entry 1:
Below is a relaxed FeCoOs crystal, with properties calculated at the PBEsol level.

Unit cell a=2.604 b=2.604 c=6.108 alpha=90.00 beta=90.00 gamma=120.00
Fractional positions:
Fe 0.000 0.000 0.000
Co 0.667 0.333 0.315
Os 0.333 0.667 0.659

The calculation puts the distance to the lowest polymorph of the same formula at 0.00 eV per formula unit. As for the symmetry: P3m1. Its energy relative to the elements is 199 meV/atom. The calculation puts the uncorrected energy at -28.3 eV per cell.


Entry 2:
Below is a relaxed CaMg2Pt crystal, with properties calculated at the PBEsol level.

Unit cell a=5.708 b=5.708 c=5.708 alpha=47.56 beta=47.56 gamma=47.56
Fractional positions:
Ca 0.000 0.000 0.000
Mg 0.206 0.206 0.206
Mg 0.464 0.464 0.464
Pt 0.807 0.807 0.807

As for the symmetry: R3m. Its energy relative to the elements is -480 meV/atom. The calculation puts the uncorrected energy at -14.5 eV per cell.


Entry 3:
Below is a relaxed SrZr4Se crystal, with properties calculated at the PBEsol level.

Unit cell a=5.964 b=5.964 c=5.964 alpha=60.00 beta=60.00 gamma=60.00
Fractional positions:
Sr 0.000 0.000 0.000
Zr 0.371 0.371 0.371
Zr 0.371 0.371 0.888
Zr 0.371 0.888 0.371
Zr 0.888 0.371 0.371
Se 0.750 0.750 0.750

As for the symmetry: F-43m. As for the energy relative to the elements, uncorrected: 0.424 eV per atom. The calculation puts the uncorrected energy at -39.5 eV per cell.


Entry 4:
Below is a relaxed YInCuIr2 crystal, with properties calculated at the PBEsol level.

Unit cell a=4.857 b=4.857 c=4.525 alpha=90.00 beta=90.00 gamma=90.00
Fractional positions:
Y 0.000 0.000 0.000
In 0.500 0.500 0.500
Cu 0.500 0.500 0.000
Ir 0.000 0.500 0.500
Ir 0.500 0.000 0.500

As for the symmetry: P4/mmm. Its energy relative to the elements is 770 meV/atom. The calculation puts the uncorrected energy at -29.9 eV per cell.


Entry 5:
Below is a relaxed SrLiSi2 crystal, with properties calculated at the PBEsol level.

Unit cell a=3.079 b=3.927 c=6.502 alpha=90.00 beta=90.00 gamma=90.00
Fractional positions:
Sr 0.000 0.000 0.000
Li 0.000 0.000 0.500
Si 0.500 0.500 0.320
Si 0.500 0.500 0.680

The calculation puts the distance to the lowest polymorph of the same formula at 0.45 eV per formula unit. As for the symmetry: Pmmm. As for the energy relative to the elements, uncorrected: -0.203 eV per atom. The calculation puts the uncorrected energy at -16.1 eV per cell.


Entry 6:
Below is a relaxed SrTe2BrN crystal, with properties calculated at the PBEsol level.

Unit cell a=5.926 b=5.926 c=3.783 alpha=90.00 beta=90.00 gamma=90.00
Fractional positions:
Sr 0.000 0.000 0.000
Te 0.000 0.500 0.500
Te 0.500 0.000 0.500
Br 0.500 0.500 0.500
N 0.500 0.500 0.000

As for the symmetry: P4/mmm. As for the energy relative to the elements, uncorrected: 0.461 eV per atom. The calculation puts the uncorrected energy at -17.0 eV per cell.


Entry 7:
Below is a relaxed Pm3Pr crystal, with properties calculated at the PBEsol level.

Unit cell a=6.206 b=6.206 c=6.206 alpha=131.78 beta=131.78 gamma=70.57
Fractional positions:
Pm 0.000 0.000 0.000
Pm 0.250 0.750 0.500
Pm 0.750 0.250 0.500
Pr 0.500 0.500 0.000

The calculation puts the distance to the lowest polymorph of the same formula at 0.00 eV per formula unit. As for the symmetry: I4/mmm. Its energy relative to the elements is 8 meV/atom. The calculation puts the uncorrected energy at -20.6 eV per cell.


Entry 8:
Below is a relaxed MgMnMo2 crystal, with properties calculated at the PBEsol level.

Unit cell a=5.155 b=5.155 c=5.155 alpha=146.02 beta=130.02 gamma=61.82
Fractional positions:
Mg 0.000 0.000 0.000
Mn 0.500 0.500 0.000
Mo 0.268 0.768 0.500
Mo 0.732 0.232 0.500

As for the symmetry: Immm. Its energy relative to the elements is 282 meV/atom. The calculation puts the uncorrected energy at -33.9 eV per cell.